Record 1
# LaInRe2

Crystalline LaInRe2 at its relaxed geometry (PBE, the Alexandria database).

```
LaInRe2
1.0
4.880 -1.880 0.000
4.880 1.880 0.000
-1.679 0.000 5.267
La In Re
1 1 2
direct
0.000 0.000 0.000
0.500 0.500 0.500
0.242 0.242 0.631
0.758 0.758 0.369
```

Computed properties:
electronic total energy: -7.74 eV/atom

Record 2
# LaIn2ReRh

Crystalline LaIn2ReRh at its relaxed geometry (PBE, the Alexandria database).

```
LaIn2ReRh
1.0
4.986 0.000 0.000
0.000 4.986 0.000
0.000 0.000 4.996
La In Re Rh
1 2 1 1
direct
0.000 0.000 0.000
0.000 0.500 0.500
0.500 0.000 0.500
0.500 0.500 0.000
0.500 0.500 0.500
```

Computed properties:
electronic total energy: -5.65 eV/atom

> The lowest electronic total energy belongs to which entry?

LaInRe2